1.
Density functional theory data (PBE-GGA) for a relaxed Dy2Zn3Hg crystal.

Lattice parameters (Å, degrees): 9.155 8.665 5.774 75.76 66.56 37.68
Sites, in units of the cell vectors:
Dy 0.250 0.250 0.250
Dy 0.250 0.750 0.750
Dy 0.750 0.250 0.250
Dy 0.750 0.750 0.750
Zn 0.161 0.161 0.839
Zn 0.162 0.676 0.324
Zn 0.324 0.838 0.162
Zn 0.676 0.162 0.838
Zn 0.838 0.324 0.676
Zn 0.839 0.839 0.161
Hg 0.334 0.334 0.666
Hg 0.666 0.666 0.334

Calculated values
Energy above the lowest structure with this stoichiometry   0.0 kJ per mole of atoms


2.
Density functional theory data (PBE-GGA) for a relaxed DyZnHg6 crystal.

Lattice parameters (Å, degrees): 8.533 8.533 8.533 43.52 43.52 43.52
Sites, in units of the cell vectors:
Dy 0.000 0.000 0.000
Zn 0.500 0.500 0.500
Hg 0.071 0.071 0.553
Hg 0.071 0.553 0.071
Hg 0.447 0.929 0.929
Hg 0.553 0.071 0.071
Hg 0.929 0.447 0.929
Hg 0.929 0.929 0.447


3.
Density functional theory data (PBE-GGA) for a relaxed DyZn3Hg crystal.

Lattice parameters (Å, degrees): 5.809 5.612 5.965 90.00 93.34 90.00
Sites, in units of the cell vectors:
Dy 0.165 0.250 0.177
Dy 0.835 0.750 0.823
Zn 0.039 0.750 0.365
Zn 0.339 0.002 0.636
Zn 0.339 0.498 0.636
Zn 0.661 0.502 0.364
Zn 0.661 0.998 0.364
Zn 0.961 0.250 0.635
Hg 0.350 0.750 0.039
Hg 0.650 0.250 0.961


4.
Density functional theory data (PBE-GGA) for a relaxed Dy5Zn2Hg crystal.

Lattice parameters (Å, degrees): 9.310 9.310 9.310 133.27 133.27 68.24
Sites, in units of the cell vectors:
Dy 0.000 0.000 0.000
Dy 0.021 0.521 0.839
Dy 0.182 0.021 0.500
Dy 0.318 0.818 0.839
Dy 0.479 0.318 0.500
Dy 0.500 0.500 0.000
Dy 0.521 0.682 0.500
Dy 0.682 0.182 0.161
Dy 0.818 0.979 0.500
Dy 0.979 0.479 0.161
Zn 0.121 0.379 0.500
Zn 0.379 0.879 0.257
Zn 0.621 0.121 0.743
Zn 0.879 0.621 0.500
Hg 0.250 0.250 0.000
Hg 0.750 0.750 0.000


5.
Density functional theory data (PBE-GGA) for a relaxed Dy2ZnHg3 crystal.

Lattice parameters (Å, degrees): 9.624 9.034 5.935 76.95 66.13 36.92
Sites, in units of the cell vectors:
Dy 0.248 0.752 0.752
Dy 0.250 0.250 0.250
Dy 0.750 0.750 0.750
Dy 0.752 0.248 0.248
Zn 0.333 0.333 0.667
Zn 0.667 0.667 0.333
Hg 0.172 0.172 0.828
Hg 0.173 0.654 0.346
Hg 0.346 0.827 0.173
Hg 0.654 0.173 0.827
Hg 0.827 0.346 0.654
Hg 0.828 0.828 0.172


6.
Density functional theory data (PBE-GGA) for a relaxed Dy3Zn8Hg crystal.

Lattice parameters (Å, degrees): 9.398 9.398 9.398 33.63 33.63 33.63
Sites, in units of the cell vectors:
Dy 0.000 0.000 0.000
Dy 0.126 0.126 0.126
Dy 0.512 0.512 0.512
Zn 0.065 0.065 0.566
Zn 0.065 0.566 0.065
Zn 0.074 0.565 0.565
Zn 0.317 0.317 0.317
Zn 0.565 0.074 0.565
Zn 0.565 0.565 0.074
Zn 0.566 0.065 0.065
Zn 0.816 0.816 0.816
Hg 0.633 0.633 0.633


7.
Density functional theory data (PBE-GGA) for a relaxed Dy3Zn2Hg4 crystal.

Lattice parameters (Å, degrees): 5.918 5.918 8.931 114.53 114.53 47.71
Sites, in units of the cell vectors:
Dy 0.000 0.000 0.000
Dy 0.337 0.337 0.332
Dy 0.663 0.663 0.668
Zn 0.388 0.388 0.716
Zn 0.612 0.612 0.284
Hg 0.069 0.069 0.393
Hg 0.291 0.291 0.943
Hg 0.709 0.709 0.057
Hg 0.931 0.931 0.607


8.
Density functional theory data (PBE-GGA) for a relaxed Dy3ZnHg4 crystal.

Lattice parameters (Å, degrees): 5.135 5.135 14.482 90.00 90.00 90.00
Sites, in units of the cell vectors:
Dy 0.000 0.000 0.000
Dy 0.000 0.000 0.266
Dy 0.000 0.000 0.734
Dy 0.500 0.500 0.234
Dy 0.500 0.500 0.500
Dy 0.500 0.500 0.766
Zn 0.000 0.000 0.500
Zn 0.500 0.500 0.000
Hg 0.000 0.500 0.119
Hg 0.000 0.500 0.381
Hg 0.000 0.500 0.619
Hg 0.000 0.500 0.881
Hg 0.500 0.000 0.119
Hg 0.500 0.000 0.381
Hg 0.500 0.000 0.619
Hg 0.500 0.000 0.881


9.
Density functional theory data (PBE-GGA) for a relaxed DyZn3Hg3 crystal.

Lattice parameters (Å, degrees): 7.231 7.231 7.231 90.00 90.00 90.00
Sites, in units of the cell vectors:
Dy 0.000 0.000 0.000
Dy 0.500 0.500 0.500
Zn 0.000 0.250 0.500
Zn 0.000 0.750 0.500
Zn 0.250 0.500 0.000
Zn 0.500 0.000 0.250
Zn 0.500 0.000 0.750
Zn 0.750 0.500 0.000
Hg 0.000 0.500 0.250
Hg 0.000 0.500 0.750
Hg 0.250 0.000 0.500
Hg 0.500 0.250 0.000
Hg 0.500 0.750 0.000
Hg 0.750 0.000 0.500


10.
Density functional theory data (PBE-GGA) for a relaxed DyZn2Hg crystal.

Lattice parameters (Å, degrees): 3.603 20.408 4.526 90.00 90.00 90.00
Sites, in units of the cell vectors:
Dy 0.000 0.096 0.250
Dy 0.000 0.904 0.750
Dy 0.500 0.404 0.750
Dy 0.500 0.596 0.250
Zn 0.000 0.265 0.750
Zn 0.000 0.473 0.250
Zn 0.000 0.527 0.750
Zn 0.000 0.735 0.250
Zn 0.500 0.027 0.750
Zn 0.500 0.235 0.250
Zn 0.500 0.765 0.750
Zn 0.500 0.973 0.250
Hg 0.000 0.341 0.250
Hg 0.000 0.659 0.750
Hg 0.500 0.159 0.750
Hg 0.500 0.841 0.250

Calculated values
Energy above the lowest structure with this stoichiometry   0.0 kJ per mole of atoms


11.
Density functional theory data (PBE-GGA) for a relaxed Dy3Zn4Hg4 crystal.

Lattice parameters (Å, degrees): 3.568 4.674 14.660 99.06 96.98 90.03
Sites, in units of the cell vectors:
Dy 0.000 0.000 0.000
Dy 0.144 0.644 0.287
Dy 0.856 0.356 0.713
Zn 0.262 0.262 0.524
Zn 0.407 0.906 0.812
Zn 0.593 0.094 0.188
Zn 0.738 0.738 0.476
Hg 0.314 0.813 0.626
Hg 0.448 0.449 0.899
Hg 0.552 0.551 0.101
Hg 0.686 0.187 0.374


12.
Density functional theory data (PBE-GGA) for a relaxed Dy2ZnHg2 crystal.

Lattice parameters (Å, degrees): 5.940 5.940 10.828 113.42 113.42 44.76
Sites, in units of the cell vectors:
Dy 0.025 0.025 0.344
Dy 0.182 0.182 0.102
Dy 0.818 0.818 0.898
Dy 0.975 0.975 0.656
Zn 0.279 0.279 0.666
Zn 0.721 0.721 0.334
Hg 0.354 0.354 0.423
Hg 0.466 0.466 0.121
Hg 0.534 0.534 0.879
Hg 0.646 0.646 0.577

Calculated values
Energy above the lowest structure with this stoichiometry   0.0 kJ per mole of atoms


13.
Density functional theory data (PBE-GGA) for a relaxed Dy5ZnHg6 crystal.

Lattice parameters (Å, degrees): 8.091 8.091 7.426 90.00 90.00 142.59
Sites, in units of the cell vectors:
Dy 0.000 0.000 0.000
Dy 0.325 0.675 0.000
Dy 0.344 0.656 0.500
Dy 0.656 0.344 0.500
Dy 0.675 0.325 0.000
Zn 0.000 0.000 0.500
Hg 0.163 0.837 0.265
Hg 0.163 0.837 0.735
Hg 0.500 0.500 0.236
Hg 0.500 0.500 0.764
Hg 0.837 0.163 0.265
Hg 0.837 0.163 0.735


14.
Density functional theory data (PBE-GGA) for a relaxed DyZnHg3 crystal.

Lattice parameters (Å, degrees): 13.413 13.413 4.870 92.90 92.90 15.33
Sites, in units of the cell vectors:
Dy 0.075 0.075 0.275
Dy 0.925 0.925 0.725
Zn 0.371 0.371 0.219
Zn 0.629 0.629 0.781
Hg 0.216 0.216 0.783
Hg 0.325 0.325 0.711
Hg 0.471 0.471 0.241
Hg 0.529 0.529 0.759
Hg 0.675 0.675 0.289
Hg 0.784 0.784 0.217


15.
Density functional theory data (PBE-GGA) for a relaxed Dy6Zn2Hg crystal.

Lattice parameters (Å, degrees): 8.564 8.564 8.564 110.84 109.46 108.13
Sites, in units of the cell vectors:
Dy 0.035 0.821 0.215
Dy 0.245 0.542 0.297
Dy 0.245 0.948 0.703
Dy 0.270 0.320 0.590
Dy 0.270 0.680 0.950
Dy 0.394 0.179 0.215
Dy 0.606 0.821 0.785
Dy 0.730 0.320 0.050
Dy 0.730 0.680 0.410
Dy 0.755 0.052 0.297
Dy 0.755 0.458 0.703
Dy 0.965 0.179 0.785
Zn 0.000 0.136 0.136
Zn 0.000 0.864 0.864
Zn 0.375 0.375 0.000
Zn 0.625 0.625 0.000
Hg 0.000 0.500 0.500
Hg 0.500 0.000 0.500

Calculated values
Energy above the lowest structure with this stoichiometry   0.0 kJ per mole of atoms


16.
Density functional theory data (PBE-GGA) for a relaxed Dy5ZnHg4 crystal.

Lattice parameters (Å, degrees): 3.677 3.677 18.589 90.00 90.00 90.00
Sites, in units of the cell vectors:
Dy 0.000 0.000 0.000
Dy 0.000 0.000 0.204
Dy 0.000 0.000 0.408
Dy 0.000 0.000 0.592
Dy 0.000 0.000 0.796
Zn 0.500 0.500 0.500
Hg 0.500 0.500 0.102
Hg 0.500 0.500 0.306
Hg 0.500 0.500 0.694
Hg 0.500 0.500 0.898


17.
Density functional theory data (PBE-GGA) for a relaxed DyZnHg crystal.

Lattice parameters (Å, degrees): 4.684 4.684 7.007 90.00 90.00 120.00
Sites, in units of the cell vectors:
Dy 0.000 0.000 0.000
Dy 0.000 0.000 0.500
Zn 0.333 0.667 0.250
Zn 0.667 0.333 0.750
Hg 0.333 0.667 0.750
Hg 0.667 0.333 0.250


18.
Density functional theory data (PBE-GGA) for a relaxed Dy8Zn2Hg crystal.

Lattice parameters (Å, degrees): 8.754 8.754 8.754 147.12 123.50 66.94
Sites, in units of the cell vectors:
Dy 0.118 0.335 0.782
Dy 0.136 0.136 0.000
Dy 0.316 0.000 0.316
Dy 0.447 0.665 0.782
Dy 0.553 0.335 0.218
Dy 0.684 0.000 0.684
Dy 0.864 0.864 0.000
Dy 0.882 0.665 0.218
Zn 0.306 0.806 0.500
Zn 0.694 0.194 0.500
Hg 0.000 0.500 0.500

Calculated values
Energy above the lowest structure with this stoichiometry   7.1 kJ per mole of atoms


19.
Density functional theory data (PBE-GGA) for a relaxed Dy2ZnHg crystal.

Lattice parameters (Å, degrees): 7.310 7.310 7.310 90.00 90.00 90.00
Sites, in units of the cell vectors:
Dy 0.250 0.250 0.250
Dy 0.250 0.250 0.750
Dy 0.250 0.750 0.250
Dy 0.250 0.750 0.750
Dy 0.750 0.250 0.250
Dy 0.750 0.250 0.750
Dy 0.750 0.750 0.250
Dy 0.750 0.750 0.750
Zn 0.000 0.000 0.000
Zn 0.000 0.500 0.500
Zn 0.500 0.000 0.500
Zn 0.500 0.500 0.000
Hg 0.000 0.000 0.500
Hg 0.000 0.500 0.000
Hg 0.500 0.000 0.000
Hg 0.500 0.500 0.500

Calculated values
Energy above the lowest structure with this stoichiometry   1.8 kJ per mole of atoms


20.
Density functional theory data (PBE-GGA) for a relaxed Dy4ZnHg3 crystal.

Lattice parameters (Å, degrees): 3.806 4.723 11.479 90.00 90.00 90.00
Sites, in units of the cell vectors:
Dy 0.000 0.000 0.000
Dy 0.000 0.500 0.289
Dy 0.500 0.000 0.488
Dy 0.500 0.500 0.792
Zn 0.500 0.000 0.223
Hg 0.000 0.000 0.729
Hg 0.000 0.500 0.558
Hg 0.500 0.500 0.065

Calculated values
Energy above the lowest structure with this stoichiometry   4.3 kJ per mole of atoms


Computed values of VASP energy (unit: eV/atom) for the preceding records, in sequence: -2.613 -0.825 -1.985 -3.508 -2.297 -2.302 -2.356 -2.442 -0.986 -2.154 -2.149 -2.596 -2.588 -1.544 -3.619 -3.000 -2.463 -3.700 -3.090 -2.973.
Computed values of spin magnetization (unit: μB per atom) for the preceding records, in sequence: 0.000 0.000 0.000 0.000 0.000 0.000 0.000 0.000 0.000 0.000 0.000 0.000 0.029 0.000 0.000 0.002 0.000 0.000 0.053 0.000.